No. 1
# K4SbW | Alexandria via LeMat-Bulk | GGA-PBE | optimized geometry
# - E: -2.445 eV/atom
# - Formation energy from raw total energies: 1.132 eV/atom
data_K4SbW
_symmetry_space_group_name_H-M 'F -4 3 m'
_symmetry_Int_Tables_number 216
_symmetry_space_group_name_Hall 'F -4 2 3'
_cell_length_a 9.5896
_cell_length_b 9.5896
_cell_length_c 9.5896
_cell_angle_alpha 90.00
_cell_angle_beta 90.00
_cell_angle_gamma 90.00
loop_
_atom_site_label
_atom_site_type_symbol
_atom_site_fract_x
_atom_site_fract_y
_atom_site_fract_z
K1 K 0.1247 0.1247 0.1247
Sb1 Sb 0.2500 0.2500 0.7500
W1 W 0.0000 0.0000 0.5000



No. 2
# La4HgOs | Alexandria via LeMat-Bulk | GGA-PBE | optimized geometry
# - E: -5.507 eV/atom
# - DFT formation energy: -0.30 eV/atom
# - Polymorph energy (0 for the lowest one): 0.00 kJ/mol of atoms
data_La4HgOs
_symmetry_space_group_name_H-M 'F -4 3 m'
_symmetry_Int_Tables_number 216
_symmetry_space_group_name_Hall 'F -4 2 3'
_cell_length_a 14.2172
_cell_length_b 14.2172
_cell_length_c 14.2172
_cell_angle_alpha 90.00
_cell_angle_beta 90.00
_cell_angle_gamma 90.00
loop_
_atom_site_label
_atom_site_type_symbol
_atom_site_fract_x
_atom_site_fract_y
_atom_site_fract_z
La1 La 0.0000 0.0000 0.1905
La2 La 0.0564 0.2500 0.2500
La3 La 0.1533 0.1533 0.6533
Hg1 Hg 0.0825 0.0825 0.4175
Os1 Os 0.1379 0.1379 0.8621



- What is the formula in the second record?
  La4HgOs



What did the second record say?
# La4HgOs | Alexandria via LeMat-Bulk | GGA-PBE | optimized geometry
# - E: -5.507 eV/atom
# - DFT formation energy: -0.30 eV/atom
# - Polymorph energy (0 for the lowest one): 0.00 kJ/mol of atoms
data_La4HgOs
_symmetry_space_group_name_H-M 'F -4 3 m'
_symmetry_Int_Tables_number 216
_symmetry_space_group_name_Hall 'F -4 2 3'
_cell_length_a 14.2172
_cell_length_b 14.2172
_cell_length_c 14.2172
_cell_angle_alpha 90.00
_cell_angle_beta 90.00
_cell_angle_gamma 90.00
loop_
_atom_site_label
_atom_site_type_symbol
_atom_site_fract_x
_atom_site_fract_y
_atom_site_fract_z
La1 La 0.0000 0.0000 0.1905
La2 La 0.0564 0.2500 0.2500
La3 La 0.1533 0.1533 0.6533
Hg1 Hg 0.0825 0.0825 0.4175
Os1 Os 0.1379 0.1379 0.8621